[1]
Computed, not measured: crystalline CdCoRu2 at its relaxed geometry at the PBE-GGA level of DFT.

Lattice parameters (Å, degrees): 5.2033 5.2033 5.2033 147.33 128.26 62.54
With the nearest neighbours (Å) after each atom.
Fractional coordinates of all 4 atoms:
Cd (0.4911, 0.4911, 0.0000)  2 Co 2.68, 6 Ru 2.70-2.83, 2 Cd 2.93
Co (0.2381, 0.7381, 0.5000)  6 Ru 2.52-2.71, 2 Cd 2.68
Ru (0.7635, 0.2635, 0.5000)  4 Ru 2.62-2.93, 4 Co 2.71, 2 Cd 2.83
Ru (0.0074, 0.0074, 0.0000)  2 Co 2.52, 2 Ru 2.62, 4 Cd 2.70

Summary:
* ΔH_f (0 K): 470 meV per atom
* VASP energy: -0.4537 Ry/atom
* density: 10.49 g/cm³



[2]
Computed, not measured: crystalline CdCoRu3 at its relaxed geometry at the PBE-GGA level of DFT.

Lattice parameters (Å, degrees): 4.4344 4.4344 4.4344 90.00 90.00 90.00
With the nearest neighbours (Å) after each atom.
Fractional coordinates of all 5 atoms:
Ru (0.0000, 0.0000, 0.5000)  2 Co 2.22
Ru (0.5000, 0.0000, 0.0000)  2 Co 2.22
Co (0.0000, 0.0000, 0.0000)  6 Ru 2.22
Cd (0.5000, 0.5000, 0.5000)  12 Ru 3.14
Ru (0.0000, 0.5000, 0.0000)  2 Co 2.22

Summary:
* ΔH_f (0 K): 1278 meV per atom
* VASP energy: -0.4330 Ry/atom
* density: 9.04 g/cm³



[3]
Computed, not measured: crystalline CdCoRu2 at its relaxed geometry at the PBE-GGA level of DFT.

Lattice parameters (Å, degrees): 9.0845 9.0845 9.0845 17.46 17.46 17.46
With the nearest neighbours (Å) after each atom.
Fractional coordinates of all 4 atoms:
Ru (0.0016, 0.0016, 0.0016)  3 Co 2.58, 9 Ru 2.62-2.76
Cd (0.4975, 0.4975, 0.4975)  6 Cd 2.76, 3 Co 2.83, 3 Ru 2.96
Co (0.7437, 0.7437, 0.7437)  3 Ru 2.58, 6 Co 2.76, 3 Cd 2.83
Ru (0.2572, 0.2572, 0.2572)  9 Ru 2.62-2.76

Summary:
* ΔH_f (0 K): 293 meV per atom
* VASP energy: -0.4667 Ry/atom
* density: 10.53 g/cm³



[4]
Computed, not measured: crystalline CdCoRu2 at its relaxed geometry at the PBE-GGA level of DFT.

Lattice parameters (Å, degrees): 4.8607 4.8607 4.8607 134.38 134.38 66.50
With the nearest neighbours (Å) after each atom.
Fractional coordinates of all 4 atoms:
Ru (0.0000, 0.0000, 0.0000)  4 Ru 2.67, 4 Cd 2.77, 4 Co 2.77
Co (0.7500, 0.2500, 0.5000)  4 Cd 2.67, 8 Ru 2.77
Ru (0.5000, 0.5000, 0.0000)  4 Ru 2.67, 4 Co 2.77, 4 Cd 2.77
Cd (0.2500, 0.7500, 0.5000)  4 Co 2.67, 8 Ru 2.77

Summary:
* ΔH_f (0 K): 485 meV per atom
* VASP energy: -0.4526 Ry/atom
* density: 10.74 g/cm³



[5]
Computed, not measured: crystalline CdCoRu2 at its relaxed geometry at the PBE-GGA level of DFT.

Lattice parameters (Å, degrees): 2.7167 2.7167 9.1548 90.00 90.00 117.14
With the nearest neighbours (Å) after each atom.
Fractional coordinates of all 4 atoms:
Ru (0.0000, 0.0000, 0.5236)  2 Co 2.51, 4 Ru 2.72
Co (0.5000, 0.5000, 0.7500)  4 Ru 2.51, 4 Co 2.72
Cd (0.5000, 0.5000, 0.2500)  6 Cd 2.72-2.83, 4 Ru 2.88
Ru (0.0000, 0.0000, 0.9764)  2 Co 2.51, 4 Ru 2.72

Summary:
* ΔH_f (0 K): 476 meV per atom
* VASP energy: -0.4533 Ry/atom
* density: 10.31 g/cm³



[6]
Computed, not measured: crystalline CdCoRu2 at its relaxed geometry at the PBE-GGA level of DFT.

Lattice parameters (Å, degrees): 4.1853 2.7543 5.4034 74.23 90.00 90.00
With the nearest neighbours (Å) after each atom.
Fractional coordinates of all 4 atoms:
Ru (0.0000, 0.9089, 0.9702)  2 Co 2.50, 4 Ru 2.60-2.75
Cd (0.5000, 0.2500, 0.2500)  2 Co 2.68, 2 Cd 2.75, 8 Ru 2.88-2.91
Co (0.5000, 0.7500, 0.7500)  4 Ru 2.50, 2 Cd 2.68, 2 Co 2.75
Ru (0.0000, 0.5911, 0.5298)  2 Co 2.50, 4 Ru 2.60-2.75

Summary:
* ΔH_f (0 K): 461 meV per atom
* VASP energy: -0.4544 Ry/atom
* density: 10.35 g/cm³



[7]
Computed, not measured: crystalline Cd4CoRu at its relaxed geometry at the PBE-GGA level of DFT.

Lattice parameters (Å, degrees): 5.4541 5.4541 5.4541 60.00 60.00 60.00
With the nearest neighbours (Å) after each atom.
Fractional coordinates of all 6 atoms:
Cd (0.6251, 0.1248, 0.6251)  6 Cd 2.73
Co (0.2500, 0.2500, 0.2500)  12 Cd 3.20, 4 Ru 3.34
Cd (0.6251, 0.6251, 0.6251)  6 Cd 2.73
Ru (0.0000, 0.0000, 0.0000)  12 Cd 3.20, 4 Co 3.34
Cd (0.1248, 0.6251, 0.6251)  6 Cd 2.73
Cd (0.6251, 0.6251, 0.1248)  6 Cd 2.73

Summary:
* ΔH_f (0 K): 691 meV per atom
* VASP energy: -0.1947 Ry/atom
* density: 8.82 g/cm³



[8]
Computed, not measured: crystalline CdCoRu2 at its relaxed geometry at the PBE-GGA level of DFT.

Lattice parameters (Å, degrees): 4.9750 4.9750 4.6112 74.51 74.51 32.37
With the nearest neighbours (Å) after each atom.
Fractional coordinates of all 4 atoms:
Ru (0.9737, 0.9737, 0.0335)  2 Co 2.51, 4 Ru 2.59-2.77, 1 Cd 2.80
Ru (0.5263, 0.5263, 0.4665)  2 Co 2.51, 4 Ru 2.59-2.77, 1 Cd 2.80
Co (0.2500, 0.2500, 0.2500)  4 Ru 2.51, 4 Cd 2.69, 2 Co 2.77
Cd (0.7500, 0.7500, 0.7500)  4 Co 2.69, 2 Cd 2.77, 6 Ru 2.80-2.95

Summary:
* ΔH_f (0 K): 355 meV per atom
* VASP energy: -0.4622 Ry/atom
* density: 10.57 g/cm³



[9]
Computed, not measured: crystalline CdCoRu2 at its relaxed geometry at the PBE-GGA level of DFT.

Lattice parameters (Å, degrees): 4.7948 4.7948 2.7721 90.00 90.00 111.77
With the nearest neighbours (Å) after each atom.
Fractional coordinates of all 4 atoms:
Ru (0.0000, 0.0000, 0.0000)  4 Ru 2.69-2.77, 4 Cd 2.77, 4 Co 2.77
Co (0.0000, 0.5000, 0.5000)  2 Cd 2.69, 8 Ru 2.77, 2 Co 2.77
Cd (0.5000, 0.0000, 0.5000)  2 Co 2.69, 8 Ru 2.77, 2 Cd 2.77
Ru (0.5000, 0.5000, 0.0000)  4 Ru 2.69-2.77, 4 Co 2.77, 4 Cd 2.77

Summary:
* ΔH_f (0 K): 546 meV per atom
* VASP energy: -0.4481 Ry/atom
* density: 10.48 g/cm³



[10]
Computed, not measured: crystalline CdCoRu2 at its relaxed geometry at the PBE-GGA level of DFT.

Lattice parameters (Å, degrees): 7.1324 7.1324 5.6405 50.78 50.78 90.00
With the nearest neighbours (Å) after each atom.
Fractional coordinates of all 8 atoms:
Ru (0.1814, 0.6250, 0.2500)  2 Co 2.34
Co (0.5000, 0.5000, 0.0000)  4 Ru 2.34, 2 Cd 2.53
Ru (0.8750, 0.8186, 0.7500)  2 Co 2.34
Cd (0.7500, 0.2500, 0.5000)  2 Co 2.53
Cd (0.0000, 0.0000, 0.0000)  2 Co 2.53
Ru (0.5686, 0.1250, 0.2500)  2 Co 2.34
Co (0.2500, 0.7500, 0.5000)  4 Ru 2.34, 2 Cd 2.53
Ru (0.3750, 0.4314, 0.7500)  2 Co 2.34

Summary:
* ΔH_f (0 K): 729 meV per atom
* VASP energy: -0.4347 Ry/atom
* density: 9.65 g/cm³



[11]
Computed, not measured: crystalline CdCoRu2 at its relaxed geometry at the PBE-GGA level of DFT.

Lattice parameters (Å, degrees): 3.7235 2.7650 6.3932 64.39 90.00 90.00
With the nearest neighbours (Å) after each atom.
Fractional coordinates of all 4 atoms:
Co (0.5000, 0.7233, 0.7766)  5 Ru 2.49-2.66, 2 Co 2.77, 4 Cd 2.78
Ru (0.0000, 0.9971, 0.0029)  6 Ru 2.60-2.77, 4 Co 2.66, 1 Cd 2.83
Cd (0.0000, 0.4883, 0.5118)  2 Cd 2.77, 4 Co 2.78, 6 Ru 2.83-2.93
Ru (0.5000, 0.2912, 0.2088)  1 Co 2.49, 6 Ru 2.60-2.77

Summary:
* ΔH_f (0 K): 304 meV per atom
* VASP energy: -0.4659 Ry/atom
* density: 10.45 g/cm³



[12]
Computed, not measured: crystalline CdCoRu4 at its relaxed geometry at the PBE-GGA level of DFT.

Lattice parameters (Å, degrees): 5.1187 5.1187 5.1187 60.00 60.00 60.00
With the nearest neighbours (Å) after each atom.
Fractional coordinates of all 6 atoms:
Co (0.0000, 0.0000, 0.0000)  12 Ru 3.00, 4 Cd 3.13
Ru (0.8756, 0.3748, 0.3748)  6 Ru 2.56
Ru (0.3748, 0.3748, 0.3748)  6 Ru 2.56
Ru (0.3748, 0.8756, 0.3748)  6 Ru 2.56
Ru (0.3748, 0.3748, 0.8756)  6 Ru 2.56
Cd (0.7500, 0.7500, 0.7500)  12 Ru 3.00, 4 Co 3.13

Summary:
* ΔH_f (0 K): 639 meV per atom
* VASP energy: -0.5058 Ry/atom
* density: 10.08 g/cm³



[13]
Computed, not measured: crystalline CdCoRu2 at its relaxed geometry at the PBE-GGA level of DFT.

Lattice parameters (Å, degrees): 4.7354 4.7354 4.7354 131.59 131.59 70.88
With the nearest neighbours (Å) after each atom.
Fractional coordinates of all 4 atoms:
Ru (0.0000, 0.0000, 0.0000)  4 Ru 2.74, 4 Co 2.74, 4 Cd 2.75
Ru (0.2500, 0.7500, 0.5000)  4 Ru 2.74, 4 Cd 2.74, 4 Co 2.75
Cd (0.5000, 0.5000, 0.0000)  4 Co 2.74, 8 Ru 2.74-2.75
Co (0.7500, 0.2500, 0.5000)  4 Cd 2.74, 8 Ru 2.74-2.75

Summary:
* ΔH_f (0 K): 445 meV per atom
* VASP energy: -0.4555 Ry/atom
* density: 10.66 g/cm³



[14]
Computed, not measured: crystalline CdCoRu2 at its relaxed geometry at the PBE-GGA level of DFT.

Lattice parameters (Å, degrees): 4.6791 4.6791 4.8695 80.41 80.41 34.41
With the nearest neighbours (Å) after each atom.
Fractional coordinates of all 4 atoms:
Co (0.2592, 0.2592, 0.2321)  5 Ru 2.54-2.82, 3 Cd 2.67-2.77, 2 Co 2.77
Ru (0.7412, 0.7412, 0.8013)  2 Co 2.54, 5 Ru 2.59-2.77
Cd (0.5028, 0.5028, 0.4819)  3 Co 2.67-2.77, 2 Cd 2.77, 7 Ru 2.80-2.92
Ru (0.9968, 0.9968, 0.9846)  5 Ru 2.59-2.77, 3 Co 2.64-2.82, 4 Cd 2.80

Summary:
* ΔH_f (0 K): 371 meV per atom
* VASP energy: -0.4610 Ry/atom
* density: 10.45 g/cm³